A plane-wave DFT calculation with PBE was carried out for V2Cu2Sn after structural relaxation.

Structure (extended XYZ):
```
10
Lattice="6.703 0.000 0.000 0.000 6.703 0.000 0.000 0.000 3.370" Properties=species:S:1:pos:R:3 pbc="T T T"
Sn 0.000 0.000 0.000
Sn 3.352 3.352 0.000
Cu 2.499 5.851 0.000
Cu 5.851 4.204 0.000
Cu 4.204 0.852 0.000
Cu 0.852 2.499 0.000
V 1.100 4.452 1.685
V 4.452 5.603 1.685
V 5.603 2.251 1.685
V 2.251 1.100 1.685
```

The calculation puts the mass density at 7.6 Mg/m³. Its total energy is -58.281 eV for the cell shown. For the density of states at the Fermi level, the calculation gives 10.391 states/eV per cell. As for the symmetry: P4/mbm.

---

A plane-wave DFT calculation with PBE was carried out for Cr2CoRe after structural relaxation.

Structure (extended XYZ):
```
4
Lattice="2.576 0.000 0.000 0.000 3.628 0.000 0.000 0.000 5.275" Properties=species:S:1:pos:R:3 pbc="T T T"
Co 1.288 1.814 3.956
Cr 0.000 0.000 5.151
Cr 0.000 0.000 2.762
Re 1.288 1.814 1.319
```

The calculation puts the mass density at 11.8 Mg/m³. Its total energy is -38.158 eV for the cell shown. For the density of states at the Fermi level, the calculation gives 4.457 states/eV per cell. As for the symmetry: Pmmm.